1.
An optimized crystal structure of Na3Ho2ErSe6, computed with GGA-PBE.

Geometry as POSCAR:
```
Na3Ho2ErSe6
1.0
-0.886 -6.725 -2.226
5.783 3.685 -1.985
1.788 -1.309 7.059
Se Na Ho Er
6 3 2 1
direct
0.592 0.924 0.772
0.256 0.256 0.772
0.744 0.744 0.228
0.408 0.076 0.228
0.076 0.408 0.228
0.924 0.592 0.772
0.833 0.167 0.500
0.167 0.833 0.500
0.500 0.500 0.500
0.333 0.667 0.000
0.667 0.333 0.000
0.000 0.000 0.000
```

DFT total energy in eV per cell: -59.1
Space-group type: C2/m
DOS(E_F) in states/eV/cell: 0.00
Formation energy (no corrections) in eV/atom: -1.706
Magnetic moment in Bohr magnetons per cell: 0.0



2.
An optimized crystal structure of Pr2Tm3Sn4, computed with GGA-PBE.

Geometry as POSCAR:
```
Pr2Tm3Sn4
1.0
-5.522 0.051 5.821
5.109 -6.460 0.922
5.008 4.633 4.711
Sn Tm Pr
8 6 4
direct
0.656 0.917 0.041
0.363 0.491 0.365
0.844 0.083 0.541
0.137 0.509 0.865
0.156 0.917 0.459
0.863 0.491 0.135
0.637 0.509 0.635
0.344 0.083 0.959
0.000 0.500 0.500
0.743 0.248 0.833
0.257 0.752 0.167
0.757 0.752 0.333
0.243 0.248 0.667
0.500 0.500 0.000
0.062 0.192 0.177
0.938 0.808 0.823
0.438 0.808 0.677
0.562 0.192 0.323
```

DFT formation energy in meV/atom: -780
DFT total energy in eV per cell: -92.0
Space-group type: P2_1/c
DOS(E_F) in states/eV/cell: 13.21
Excess energy over the best structure of this formula in the dataset in eV per atom: 0.0000
Magnetic moment in Bohr magnetons per cell: 0.0



The highest DFT total energy belongs to which entry?
Na3Ho2ErSe6



Which value of DFT total energy does entry 1 give?
-59.1 eV per cell



Which formula does entry 1 have?
Na3Ho2ErSe6